1.
## Y4CuAg (PBE)

Data for a relaxed structure of Y4CuAg.

Summary:
Formation energy from the elements in eV per atom: 0.013
ΔE to the lowest computed polymorph in eV per atom: 0.1665

Unit cell a=6.972 b=7.188 c=6.955 alpha=90.00 beta=94.52 gamma=90.00
Positions (direct):
Y 0.152 0.163 0.175
Y 0.152 0.337 0.675
Y 0.337 0.653 0.125
Y 0.337 0.847 0.625
Y 0.663 0.153 0.375
Y 0.663 0.347 0.875
Y 0.848 0.663 0.325
Y 0.848 0.837 0.825
Cu 0.000 0.000 0.500
Cu 0.000 0.500 0.000
Ag 0.500 0.000 0.000
Ag 0.500 0.500 0.500

***

2.
## NaThCrN3 (PBE)

Data for a relaxed structure of NaThCrN3.

Summary:
ΔE_f (raw) in eV/atom: -0.77

Unit cell a=7.222 b=3.582 c=7.837 alpha=90.00 beta=95.35 gamma=90.00
Positions (direct):
Na 0.144 0.250 0.150
Na 0.856 0.750 0.850
Th 0.381 0.750 0.824
Th 0.619 0.250 0.176
Cr 0.086 0.250 0.587
Cr 0.914 0.750 0.413
N 0.124 0.250 0.808
N 0.156 0.750 0.526
N 0.415 0.750 0.119
N 0.585 0.250 0.881
N 0.844 0.250 0.474
N 0.876 0.750 0.192

***

3.
## Pr4SnPb2 (PBE)

Data for a relaxed structure of Pr4SnPb2.

Summary:
Formation energy from the elements in eV per atom: -0.418

Unit cell a=11.627 b=11.627 c=11.627 alpha=25.18 beta=25.18 gamma=25.18
Positions (direct):
Pr 0.122 0.122 0.122
Pr 0.299 0.299 0.299
Pr 0.701 0.701 0.701
Pr 0.878 0.878 0.878
Sn 0.500 0.500 0.500
Pb 0.405 0.405 0.405
Pb 0.595 0.595 0.595

***

4.
## NpRuS (PBE)

Data for a relaxed structure of NpRuS.

Summary:
ΔE_f (raw) in eV/atom: -0.35

Unit cell a=8.152 b=8.152 c=8.152 alpha=32.15 beta=32.15 gamma=32.15
Positions (direct):
Np 0.240 0.240 0.240
Np 0.760 0.760 0.760
Ru 0.341 0.341 0.341
Ru 0.659 0.659 0.659
S 0.122 0.122 0.122
S 0.878 0.878 0.878

***

5.
## Pm2Ni4As3Ir (PBE)

Data for a relaxed structure of Pm2Ni4As3Ir.

Summary:
Formation energy from the elements in eV per atom: -0.672

Unit cell a=4.071 b=4.071 c=10.000 alpha=90.00 beta=90.00 gamma=90.00
Positions (direct):
Pm 0.000 0.500 0.248
Pm 0.500 0.000 0.752
Ni 0.000 0.000 0.000
Ni 0.000 0.500 0.640
Ni 0.500 0.000 0.360
Ni 0.500 0.500 0.000
As 0.000 0.500 0.873
As 0.500 0.000 0.127
As 0.500 0.500 0.500
Ir 0.000 0.000 0.500

***

6.
## Sm2Al4PdPt3 (PBE)

Data for a relaxed structure of Sm2Al4PdPt3.

Summary:
Formation energy from the elements in eV per atom: -1.080

Unit cell a=4.298 b=4.298 c=10.285 alpha=90.00 beta=90.00 gamma=90.00
Positions (direct):
Sm 0.000 0.500 0.249
Sm 0.500 0.000 0.751
Al 0.000 0.000 0.000
Al 0.000 0.500 0.627
Al 0.500 0.000 0.373
Al 0.500 0.500 0.000
Pd 0.000 0.000 0.500
Pt 0.000 0.500 0.867
Pt 0.500 0.000 0.133
Pt 0.500 0.500 0.500

***

7.
## LaCo2Rh2 (PBE)

Data for a relaxed structure of LaCo2Rh2.

Summary:
Formation energy from the elements in eV per atom: -0.164
ΔE to the lowest computed polymorph in eV per atom: 0.0000

Unit cell a=4.190 b=4.190 c=9.869 alpha=90.00 beta=90.00 gamma=90.00
Positions (direct):
La 0.000 0.000 0.000
La 0.500 0.500 0.500
Co 0.000 0.000 0.388
Co 0.000 0.000 0.612
Co 0.500 0.500 0.112
Co 0.500 0.500 0.888
Rh 0.000 0.500 0.250
Rh 0.000 0.500 0.750
Rh 0.500 0.000 0.250
Rh 0.500 0.000 0.750

***

8.
## CdPbIN2 (PBE)

Data for a relaxed structure of CdPbIN2.

Summary:
ΔE to the lowest computed polymorph in eV per atom: 0.0168
ΔE_f (raw) in eV/atom: 1.45

Unit cell a=4.574 b=4.574 c=6.087 alpha=90.00 beta=90.00 gamma=90.00
Positions (direct):
Cd 0.000 0.000 0.000
Pb 0.500 0.500 0.500
I 0.000 0.000 0.500
N 0.000 0.500 0.000
N 0.500 0.000 0.000

***

Number 1: spin magnetization 0.00 μB per formula unit, calculated total energy -0.2004 hartree per atom. Number 2: spin magnetization 0.75 μB per formula unit, calculated total energy -0.2938 hartree per atom. Number 3: spin magnetization 0.00 μB per formula unit, calculated total energy -0.1757 hartree per atom. Number 4: spin magnetization 2.74 μB per formula unit, calculated total energy -0.3355 hartree per atom. Number 5: spin magnetization 0.00 μB per formula unit, calculated total energy -0.2284 hartree per atom. Number 6: spin magnetization 0.00 μB per formula unit, calculated total energy -0.2151 hartree per atom. Number 7: spin magnetization 4.49 μB per formula unit, calculated total energy -0.2548 hartree per atom. Number 8: spin magnetization 2.80 μB per formula unit, calculated total energy -0.1145 hartree per atom.